1.
Mg2ScGaO | Alexandria | PBE | relaxed; DFT total energy = -4.716 eV per atom; space group = P4/mmm; DOS(E_F) = 1.076 states/eV/cell; V = 15.9 Å³ per atom; formation energy (no corrections) = -1.2144 eV/atom
1.0
-0.211 3.769 -1.950
-3.414 1.009 2.320
2.612 1.742 3.086
O Sc Mg Ga
1 1 2 1
Cartesian
0.000 0.000 0.000
1.306 0.871 1.543
-1.707 0.505 1.160
-0.105 1.885 -0.975
-0.506 3.260 1.728

***

2.
Mg2GaSeO6 | Alexandria | PBE | relaxed; DFT total energy = -5.397 eV per atom; space group = P4mm; DOS(E_F) = 1.196 states/eV/cell; V = 12.9 Å³ per atom; formation energy (no corrections) = -1.4524 eV/atom
1.0
-3.844 -1.715 2.245
-2.425 -0.535 -4.561
1.892 -4.816 -0.441
Ga O Mg Se
1 6 2 1
Cartesian
-2.162 -0.965 1.263
-0.724 -0.323 0.423
-1.248 -3.113 -1.928
-3.227 -5.271 -2.097
-2.018 -5.004 0.177
-2.961 -2.603 0.397
-4.170 -2.870 -1.877
-4.841 -1.887 -0.161
-2.683 -4.027 1.899
-2.615 -3.723 -1.130